Record 1
Entry from Alexandria: a relaxed PmEr12Tm6 crystal (PBE). Values from VASP.

The structure in Quantum ESPRESSO input format:
```
&SYSTEM
  ibrav = 0, nat = 19, ntyp = 3
/
ATOMIC_SPECIES
Pm 145.00 Pm.upf
Er 167.26 Er.upf
Tm 168.93 Tm.upf
ATOMIC_POSITIONS angstrom
Pm 0.0000 0.0000 0.0000
Er -1.1954 -1.6673 2.8874
Er -0.8462 1.8689 2.8874
Er -1.3401 -1.5124 6.2599
Er 2.0417 -0.2016 2.8874
Er -1.9798 0.4044 8.8021
Er -0.6397 1.9168 6.2599
Er 0.6397 -1.9168 8.8021
Er 1.9798 -0.4044 6.2599
Er -2.0417 0.2016 12.1746
Er 1.3401 1.5124 8.8021
Er 0.8462 -1.8689 12.1746
Er 1.1954 1.6673 12.1746
Tm -3.4846 0.9031 5.1892
Tm 0.9602 -3.4694 5.1892
Tm -2.5245 -2.5662 9.8728
Tm 2.5245 2.5662 5.1892
Tm -0.9602 3.4694 9.8728
Tm 3.4846 -0.9031 9.8728
CELL_PARAMETERS angstrom
5.8631 3.3850 5.0207
-5.8631 3.3850 5.0207
0.0000 -6.7701 5.0207
```

Results
The energy above the most stable polymorph in this dataset is 0 meV per atom. The total magnetic moment comes out at 0.00 μB/atom. Its energy relative to the elements is 162 meV per atom. The total energy is -83.26 eV/cell.

Record 2
Entry from Alexandria: a relaxed InSi2Au crystal (PBE). Values from VASP.

The structure in Quantum ESPRESSO input format:
```
&SYSTEM
  ibrav = 0, nat = 4, ntyp = 3
/
ATOMIC_SPECIES
In 114.82 In.upf
Si 28.09 Si.upf
Au 196.97 Au.upf
ATOMIC_POSITIONS angstrom
In 0.0000 0.0000 0.0000
Si 1.5317 1.8688 2.0991
Si 1.5317 1.8688 4.7698
Au 0.0000 0.0000 3.4344
CELL_PARAMETERS angstrom
3.0634 0.0000 0.0000
0.0000 3.7376 0.0000
0.0000 0.0000 6.8689
```

Results
The total magnetic moment comes out at 0.00 μB/atom. The total energy is -15.49 eV/cell.

Record 3
Entry from Alexandria: a relaxed Sr5Tl2Cd crystal (PBE). Values from VASP.

The structure in Quantum ESPRESSO input format:
```
&SYSTEM
  ibrav = 0, nat = 16, ntyp = 3
/
ATOMIC_SPECIES
Sr 87.62 Sr.upf
Tl 204.38 Tl.upf
Cd 112.41 Cd.upf
ATOMIC_POSITIONS angstrom
Sr 0.0000 0.0000 0.0000
Sr 6.1006 1.5071 -2.1574
Sr 1.5071 3.0865 -2.1574
Sr 6.1006 1.5071 2.1574
Sr 1.5071 3.0865 2.1574
Sr 0.0000 0.0000 7.5543
Sr 3.0865 1.5071 5.3970
Sr -1.5071 3.0865 5.3970
Sr 3.0865 1.5071 9.7117
Sr -1.5071 3.0865 9.7117
Tl 3.3980 1.1955 0.0000
Tl 3.3980 -1.1955 7.5543
Tl 1.1955 5.7890 0.0000
Tl 1.1955 3.3980 7.5543
Cd 0.0000 0.0000 3.7772
Cd 0.0000 0.0000 11.3315
CELL_PARAMETERS angstrom
-4.5935 4.5935 7.5543
4.5935 -4.5935 7.5543
4.5935 4.5935 -7.5543
```

Results
The total magnetic moment comes out at 0.00 μB/atom. Its energy relative to the elements is -297 meV per atom. The total energy is -32.87 eV/cell.

Record 4
Entry from Alexandria: a relaxed Pr2Cd3Hg3 crystal (PBE). Values from VASP.

The structure in Quantum ESPRESSO input format:
```
&SYSTEM
  ibrav = 0, nat = 8, ntyp = 3
/
ATOMIC_SPECIES
Pr 140.91 Pr.upf
Cd 112.41 Cd.upf
Hg 200.59 Hg.upf
ATOMIC_POSITIONS angstrom
Pr 0.0000 0.0000 0.0000
Pr 0.0000 0.0000 12.6783
Cd 0.0000 0.0000 6.3202
Cd 0.0000 0.0000 19.1269
Cd 0.0000 0.0000 22.3170
Hg 0.0000 0.0000 3.1878
Hg 0.0000 0.0000 9.5008
Hg 0.0000 0.0000 15.8812
CELL_PARAMETERS angstrom
2.6074 1.5054 8.5105
-2.6074 1.5054 8.5105
0.0000 -3.0107 8.5105
```

Results
The total magnetic moment comes out at 0.00 μB/atom. Its energy relative to the elements is -389 meV per atom. The total energy is -16.32 eV/cell.

Record 5
Entry from Alexandria: a relaxed Sr2IrN2 crystal (PBE). Values from VASP.

The structure in Quantum ESPRESSO input format:
```
&SYSTEM
  ibrav = 0, nat = 5, ntyp = 3
/
ATOMIC_SPECIES
Sr 87.62 Sr.upf
Ir 192.22 Ir.upf
N 14.01 N.upf
ATOMIC_POSITIONS angstrom
Sr 0.0000 0.0000 1.8158
Sr 0.0000 0.0000 10.7749
Ir 0.0000 0.0000 6.2953
N 0.0000 0.0000 4.4321
N 0.0000 0.0000 8.1586
CELL_PARAMETERS angstrom
-1.9651 1.9651 6.2953
1.9651 -1.9651 6.2953
1.9651 1.9651 -6.2953
```

Results
The energy above the most stable polymorph in this dataset is 0 meV per atom. The total magnetic moment comes out at 0.00 μB/atom. The total energy is -31.71 eV/cell.

Record 6
Entry from Alexandria: a relaxed MgB2Mo crystal (PBE). Values from VASP.

The structure in Quantum ESPRESSO input format:
```
&SYSTEM
  ibrav = 0, nat = 8, ntyp = 3
/
ATOMIC_SPECIES
Mg 24.30 Mg.upf
B 10.81 B.upf
Mo 95.94 Mo.upf
ATOMIC_POSITIONS angstrom
Mg 0.0000 0.0000 0.0000
Mg 0.0000 2.9996 1.3831
B 1.4998 1.6277 -0.6915
B 4.3715 1.4998 0.6915
B 1.4998 1.3719 2.0746
B -1.3719 1.4998 3.4577
Mo 2.9996 0.0000 1.3831
Mo 0.0000 0.0000 2.7662
CELL_PARAMETERS angstrom
-2.9996 2.9996 2.7662
2.9996 -2.9996 2.7662
2.9996 2.9996 -2.7662
```

Results
The total magnetic moment comes out at 0.00 μB/atom. Its energy relative to the elements is 695 meV per atom. The total energy is -46.00 eV/cell.

Record 7
Entry from Alexandria: a relaxed Cs3K4Rb crystal (PBE). Values from VASP.

The structure in Quantum ESPRESSO input format:
```
&SYSTEM
  ibrav = 0, nat = 8, ntyp = 3
/
ATOMIC_SPECIES
Cs 132.91 Cs.upf
K 39.10 K.upf
Rb 85.47 Rb.upf
ATOMIC_POSITIONS angstrom
Cs 0.0000 0.0000 0.0000
Cs 4.3506 3.4332 2.2369
Cs 0.0000 2.5223 9.6019
K 4.3506 2.1156 -2.2235
K 2.2363 5.9556 -2.6707
K 2.1143 0.0000 4.6943
K 0.0000 3.8399 5.1415
Rb 0.0000 5.9556 1.1014
CELL_PARAMETERS angstrom
-4.3506 5.9556 7.3650
4.3506 -5.9556 7.3650
4.3506 5.9556 -7.3650
```

Results
The energy above the most stable polymorph in this dataset is 43 meV per atom. The total magnetic moment comes out at 0.00 μB/atom. Its energy relative to the elements is 50 meV per atom. The total energy is -7.52 eV/cell.

Record 8
Entry from Alexandria: a relaxed Tb6PmTm4 crystal (PBE). Values from VASP.

The structure in Quantum ESPRESSO input format:
```
&SYSTEM
  ibrav = 0, nat = 22, ntyp = 3
/
ATOMIC_SPECIES
Tb 158.93 Tb.upf
Pm 145.00 Pm.upf
Tm 168.93 Tm.upf
ATOMIC_POSITIONS angstrom
Tb 0.0000 0.0000 0.0000
Tb 0.0000 0.0000 12.8046
Tb 2.8396 4.5889 19.2069
Tb 2.8396 1.8068 2.5919
Tb 2.8396 1.8068 10.2127
Tb 2.8396 1.3784 17.4296
Tb 2.8396 1.3784 20.9842
Tb 2.8396 -1.3784 4.6250
Tb 2.8396 -1.3784 8.1796
Tb 2.8396 -1.8068 15.3965
Tb 2.8396 -1.8068 23.0173
Tb 2.8396 -4.5889 6.4023
Pm 2.8396 1.8120 6.4023
Pm 2.8396 -1.8120 19.2069
Tm 2.8396 4.5599 15.9225
Tm 2.8396 4.5599 22.4912
Tm 2.8396 1.5166 13.8944
Tm 2.8396 1.5166 24.5193
Tm 2.8396 -1.5166 1.0898
Tm 2.8396 -1.5166 11.7147
Tm 2.8396 -4.5599 3.1180
Tm 2.8396 -4.5599 9.6866
CELL_PARAMETERS angstrom
2.8396 -4.8090 0.0000
2.8396 4.8090 0.0000
0.0000 0.0000 25.6092
```

Results
The energy above the most stable polymorph in this dataset is 0 meV per atom. The total magnetic moment comes out at 0.00 μB/atom. Its energy relative to the elements is 122 meV per atom. The total energy is -98.14 eV/cell.

Record 9
Entry from Alexandria: a relaxed ErCo4Pt crystal (PBE). Values from VASP.

The structure in Quantum ESPRESSO input format:
```
&SYSTEM
  ibrav = 0, nat = 6, ntyp = 3
/
ATOMIC_SPECIES
Er 167.26 Er.upf
Co 58.93 Co.upf
Pt 195.08 Pt.upf
ATOMIC_POSITIONS angstrom
Er 0.0000 0.0000 0.0000
Co 2.6037 2.6037 2.6037
Co 4.3243 4.3243 2.6037
Co 4.3243 2.6037 4.3243
Co 2.6037 4.3243 4.3243
Pt 5.1960 5.1960 5.1960
CELL_PARAMETERS angstrom
0.0000 3.4640 3.4640
3.4640 0.0000 3.4640
3.4640 3.4640 0.0000
```

Results
The total magnetic moment comes out at 1.10 μB/atom. Its energy relative to the elements is -262 meV per atom. The total energy is -40.60 eV/cell.

Record 10
Entry from Alexandria: a relaxed MnBTeAu crystal (PBE). Values from VASP.

The structure in Quantum ESPRESSO input format:
```
&SYSTEM
  ibrav = 0, nat = 4, ntyp = 4
/
ATOMIC_SPECIES
Mn 54.94 Mn.upf
B 10.81 B.upf
Te 127.60 Te.upf
Au 196.97 Au.upf
ATOMIC_POSITIONS angstrom
Mn 0.0000 0.0000 0.0000
B 1.7382 1.0036 5.6346
Te 0.0000 2.0071 1.7624
Au 0.0000 2.0071 4.5315
CELL_PARAMETERS angstrom
3.4764 0.0000 0.0000
-1.7382 3.0107 0.0000
0.0000 0.0000 6.4391
```

Results
The energy above the most stable polymorph in this dataset is 20 meV per atom. The total magnetic moment comes out at 0.46 μB/atom. The total energy is -21.36 eV/cell.

Record 11
Entry from Alexandria: a relaxed Sm8Ag2Sb crystal (PBE). Values from VASP.

The structure in Quantum ESPRESSO input format:
```
&SYSTEM
  ibrav = 0, nat = 11, ntyp = 3
/
ATOMIC_SPECIES
Sm 150.36 Sm.upf
Ag 107.87 Ag.upf
Sb 121.76 Sb.upf
ATOMIC_POSITIONS angstrom
Sm 0.6990 1.6209 3.1519
Sm 4.4030 3.7957 0.0000
Sm 0.6990 -1.6209 3.1519
Sm 3.1331 0.0000 1.0228
Sm 3.9681 0.0000 4.2562
Sm 6.4021 1.6209 2.1271
Sm 4.4030 -3.7957 0.0000
Sm 6.4021 -1.6209 2.1271
Ag 3.5506 2.7035 2.6395
Ag 3.5506 -2.7035 2.6395
Sb 0.0000 0.0000 0.0000
CELL_PARAMETERS angstrom
4.4030 -7.1360 0.0000
4.4030 7.1360 0.0000
-1.7048 0.0000 5.2790
```

Results
The total magnetic moment comes out at 0.00 μB/atom. The total energy is -49.40 eV/cell.

Record 12
Entry from Alexandria: a relaxed TiAg3Br crystal (PBE). Values from VASP.

The structure in Quantum ESPRESSO input format:
```
&SYSTEM
  ibrav = 0, nat = 5, ntyp = 3
/
ATOMIC_SPECIES
Ti 47.87 Ti.upf
Ag 107.87 Ag.upf
Br 79.90 Br.upf
ATOMIC_POSITIONS angstrom
Ti 0.0000 0.0000 0.0000
Ag 0.0000 0.0000 2.5925
Ag 0.0000 2.5925 0.0000
Ag 2.5925 0.0000 0.0000
Br 2.5925 2.5925 2.5925
CELL_PARAMETERS angstrom
5.1851 0.0000 0.0000
0.0000 5.1851 0.0000
0.0000 0.0000 5.1851
```

Results
The energy above the most stable polymorph in this dataset is 0 meV per atom. The total magnetic moment comes out at 0.00 μB/atom. The total energy is -12.95 eV/cell.